# 1
VASP calculation (GGA-PBE) on NdSnTe3Au after structural relaxation.

Properties
E = -4.26 eV per atom
Energy above the most stable polymorph in this dataset = 0.8 meV/atom

Cell lengths 4.3120, 11.3205, 7.7633 Å; angles 90.00, 106.12, 90.00 degrees
With the nearest neighbours (Å) after each atom.
Element x y z (fractional)
Te 0.9031 0.0000 0.8062  2 Au 2.85, 2 Nd 3.18
Sn 0.7729 0.5000 0.5458  6 Te 3.23-3.40
Te 0.6514 0.1874 0.3028  1 Au 2.81
Au 0.4719 0.5000 0.9438  4 Te 2.81-2.85
Sn 0.2271 0.0000 0.4542  6 Te 3.23-3.40
Te 0.3486 0.6874 0.6972  1 Au 2.81
Te 0.3486 0.3126 0.6972  1 Au 2.81
Nd 0.0000 0.2500 0.0000  6 Te 3.18-3.20
Nd 0.0000 0.7500 0.0000  6 Te 3.18-3.20
Te 0.0969 0.5000 0.1938  2 Au 2.85, 2 Nd 3.18
Te 0.6514 0.8126 0.3028  1 Au 2.81
Au 0.5281 0.0000 0.0562  4 Te 2.81-2.85


# 2
VASP calculation (GGA-PBE) on Ba2LiIrO6 after structural relaxation.

Properties
E = -6.24 eV per atom
Energy above the most stable polymorph in this dataset = 1.0 meV/atom

Cell lengths 5.7181, 5.7181, 5.7181 Å; angles 60.13, 60.13, 60.13 degrees
With the nearest neighbours (Å) after each atom.
Element x y z (fractional)
Ir 0.5000 0.5000 0.5000  6 O 1.92
O 0.2614 0.2632 0.7372  1 Ir 1.92, 1 Li 2.12
Ba 0.7501 0.7501 0.7501  12 O 2.86-2.87
Ba 0.2499 0.2499 0.2499  12 O 2.86-2.87
O 0.2628 0.7386 0.7368  1 Ir 1.92, 1 Li 2.12
O 0.7368 0.2628 0.7386  1 Ir 1.92, 1 Li 2.12
Li 0.0000 0.0000 0.0000  6 O 2.12
O 0.2632 0.7372 0.2614  1 Ir 1.92, 1 Li 2.12
O 0.7386 0.7368 0.2628  1 Ir 1.92, 1 Li 2.12
O 0.7372 0.2614 0.2632  1 Ir 1.92, 1 Li 2.12


# 3
VASP calculation (GGA-PBE) on MgZrCuBi after structural relaxation.

Properties
E = -4.20 eV per atom

Cell lengths 4.9486, 4.9486, 4.9486 Å; angles 60.00, 60.00, 60.00 degrees
With the nearest neighbours (Å) after each atom.
Element x y z (fractional)
Cu 0.7500 0.7500 0.7500  4 Bi 3.03, 4 Mg 3.03
Bi 0.0000 0.0000 0.0000  4 Cu 3.03, 4 Zr 3.03
Zr 0.2500 0.2500 0.2500  4 Mg 3.03, 4 Bi 3.03
Mg 0.5000 0.5000 0.5000  4 Zr 3.03, 4 Cu 3.03


# 4
VASP calculation (GGA-PBE) on Tb6Al3Si after structural relaxation.

Properties
E = -4.84 eV per atom

Cell lengths 11.2368, 11.2368, 11.2368 Å; angles 117.71, 117.71, 94.02 degrees
With the nearest neighbours (Å) after each atom.
Element x y z (fractional)
Al 0.1172 0.9736 0.5000  1 Al 2.74, 1 Tb 3.05
Tb 0.1701 0.3020 0.7405  2 Si 2.98-3.15, 3 Al 3.04-3.19
Tb 0.0615 0.8020 0.1319  2 Si 2.98-3.15, 3 Al 3.04-3.19
Tb 0.6980 0.4385 0.8681  2 Si 2.98-3.15, 3 Al 3.04-3.19
Al 0.6172 0.1172 0.1436  1 Al 2.74, 1 Tb 3.05
Tb 0.1691 0.6691 0.8381  5 Al 3.14-3.47
Al 0.6198 0.1198 0.7396  6 Tb 3.01-3.04
Tb 0.1484 0.6484 0.5000  4 Al 3.01-3.05, 1 Tb 3.12
Tb 0.5615 0.4296 0.2595  2 Si 2.98-3.15, 3 Al 3.04-3.19
Tb 0.8516 0.3516 0.5000  4 Al 3.01-3.05, 1 Tb 3.12
Tb 0.4296 0.1701 0.8681  2 Si 2.98-3.15, 3 Al 3.04-3.19
Al 0.5264 0.3828 0.5000  1 Al 2.74, 1 Tb 3.05
Al 0.4736 0.6172 0.5000  1 Al 2.74, 1 Tb 3.05
Tb 0.5704 0.8299 0.1319  2 Si 2.98-3.15, 3 Al 3.04-3.19
Si 0.2500 0.2500 0.0000  8 Tb 2.98
Al 0.3828 0.8828 0.8564  1 Al 2.74, 1 Tb 3.05
Tb 0.3309 0.1691 0.5000  5 Al 3.14-3.47
Al 0.0264 0.5264 0.1436  1 Al 2.74, 1 Tb 3.05
Al 0.3802 0.8802 0.2604  6 Tb 3.01-3.04
Si 0.5000 0.5000 0.0000  8 Tb 3.15
Tb 0.6484 0.1484 0.5000  4 Al 3.01-3.05, 1 Tb 3.12
Tb 0.3516 0.8516 0.5000  4 Al 3.01-3.05, 1 Tb 3.12
Tb 0.8309 0.3309 0.1619  5 Al 3.14-3.47
Si 0.0000 0.0000 0.0000  8 Tb 3.15
Al 0.1198 0.3802 0.5000  6 Tb 3.01-3.04
Tb 0.1980 0.3299 0.2595  2 Si 2.98-3.15, 3 Al 3.04-3.19
Tb 0.0704 0.9385 0.7405  2 Si 2.98-3.15, 3 Al 3.04-3.19
Al 0.8828 0.0264 0.5000  1 Al 2.74, 1 Tb 3.05
Tb 0.3020 0.5615 0.1319  2 Si 2.98-3.15, 3 Al 3.04-3.19
Al 0.9736 0.4736 0.8564  1 Al 2.74, 1 Tb 3.05
Tb 0.9296 0.0615 0.2595  2 Si 2.98-3.15, 3 Al 3.04-3.19
Si 0.7500 0.7500 0.0000  8 Tb 2.98
Tb 0.4385 0.5704 0.7405  2 Si 2.98-3.15, 3 Al 3.04-3.19
Tb 0.3299 0.0704 0.1319  2 Si 2.98-3.15, 3 Al 3.04-3.19
Tb 0.8020 0.6701 0.7405  2 Si 2.98-3.15, 3 Al 3.04-3.19
Tb 0.9385 0.1980 0.8681  2 Si 2.98-3.15, 3 Al 3.04-3.19
Tb 0.6701 0.9296 0.8681  2 Si 2.98-3.15, 3 Al 3.04-3.19
Al 0.8802 0.6198 0.5000  6 Tb 3.01-3.04
Tb 0.8299 0.6980 0.2595  2 Si 2.98-3.15, 3 Al 3.04-3.19
Tb 0.6691 0.8309 0.5000  5 Al 3.14-3.47


# 5
VASP calculation (GGA-PBE) on Ga2HgAu after structural relaxation.

Properties
E = -2.35 eV per atom

Cell lengths 4.8740, 4.8740, 4.8740 Å; angles 60.00, 60.00, 60.00 degrees
With the nearest neighbours (Å) after each atom.
Element x y z (fractional)
Au 0.5000 0.5000 0.5000  4 Ga 2.98, 4 Hg 2.98
Ga 0.0000 0.0000 0.0000  4 Hg 2.98, 4 Ga 2.98
Hg 0.7500 0.7500 0.7500  4 Au 2.98, 4 Ga 2.98
Ga 0.2500 0.2500 0.2500  4 Au 2.98, 4 Ga 2.98


# 6
VASP calculation (GGA-PBE) on BeCuSnAu after structural relaxation.

Properties
E = -3.46 eV per atom
Energy above the most stable polymorph in this dataset = 0.0 meV/atom

Cell lengths 4.4717, 4.4717, 4.4717 Å; angles 60.00, 60.00, 60.00 degrees
With the nearest neighbours (Å) after each atom.
Element x y z (fractional)
Cu 0.0000 0.0000 0.0000  4 Au 2.74, 4 Sn 2.74
Be 0.5000 0.5000 0.5000  4 Au 2.74, 4 Sn 2.74
Sn 0.2500 0.2500 0.2500  4 Be 2.74, 4 Cu 2.74
Au 0.7500 0.7500 0.7500  4 Be 2.74, 4 Cu 2.74


# 7
VASP calculation (GGA-PBE) on CsLaDy after structural relaxation.

Properties
E = -2.72 eV per atom
Energy above the most stable polymorph in this dataset = 0.0 meV/atom

Cell lengths 6.6148, 6.6148, 3.3966 Å; angles 90.00, 90.00, 120.00 degrees
With the nearest neighbours (Å) after each atom.
Element x y z (fractional)
Dy 0.6667 0.3333 0.0000  2 Dy 3.40
Cs 0.3333 0.6667 0.0000  2 Cs 3.40
La 0.0000 0.0000 0.0000  2 La 3.40


# 8
VASP calculation (GGA-PBE) on GdDyTlAu2 after structural relaxation.

Properties
E = -4.30 eV per atom

Cell lengths 3.5829, 7.7601, 7.7601 Å; angles 34.17, 90.00, 90.00 degrees
With the nearest neighbours (Å) after each atom.
Element x y z (fractional)
Tl 0.5000 0.0002 0.0002  2 Au 2.89-2.92
Dy 0.0000 0.6309 0.6309  6 Au 3.05-3.12
Au 0.5000 0.1950 0.1950  2 Au 2.79, 1 Tl 2.89, 4 Dy 3.05
Gd 0.0000 0.3703 0.3703  6 Au 3.06-3.16
Au 0.5000 0.8035 0.8035  2 Au 2.79, 1 Tl 2.92, 4 Gd 3.06, 2 Dy 3.12


# 9
VASP calculation (GGA-PBE) on TbNi12B6 after structural relaxation.

Properties
E = -6.26 eV per atom
Energy above the most stable polymorph in this dataset = 2.1 meV/atom

Cell lengths 6.0181, 6.0181, 6.0181 Å; angles 104.41, 104.41, 104.41 degrees
With the nearest neighbours (Å) after each atom.
Element x y z (fractional)
B 0.2357 0.6706 0.2357  7 Ni 2.04-2.10
Ni 0.1304 0.5000 0.8696  4 B 2.04-2.07
Ni 0.8696 0.5000 0.1304  4 B 2.04-2.07
Ni 0.4530 0.1863 0.4530  3 B 2.09-2.10
Ni 0.1863 0.4530 0.4530  3 B 2.09-2.10
Ni 0.5470 0.8137 0.5470  3 B 2.09-2.10
B 0.7643 0.7643 0.3294  7 Ni 2.04-2.10
Ni 0.4530 0.4530 0.1863  3 B 2.09-2.10
Ni 0.8137 0.5470 0.5470  3 B 2.09-2.10
B 0.3294 0.7643 0.7643  7 Ni 2.04-2.10
B 0.2357 0.2357 0.6706  7 Ni 2.04-2.10
Ni 0.5000 0.1304 0.8696  4 B 2.04-2.07
Ni 0.5470 0.5470 0.8137  3 B 2.09-2.10
Tb 0.0000 0.0000 0.0000  18 Ni 3.06-3.25, 6 B 3.12
Ni 0.1304 0.8696 0.5000  4 B 2.04-2.07
B 0.6706 0.2357 0.2357  7 Ni 2.04-2.10
Ni 0.5000 0.8696 0.1304  4 B 2.04-2.07
Ni 0.8696 0.1304 0.5000  4 B 2.04-2.07
B 0.7643 0.3294 0.7643  7 Ni 2.04-2.10


# 10
VASP calculation (GGA-PBE) on Rb2NaHgCl6 after structural relaxation.

Properties
E = -2.71 eV per atom
Energy above the most stable polymorph in this dataset = 0.0 meV/atom

Cell lengths 7.5279, 7.5279, 7.5279 Å; angles 122.26, 122.26, 86.13 degrees
With the nearest neighbours (Å) after each atom.
Element x y z (fractional)
Cl 0.8188 0.6977 0.5165  1 Hg 2.56, 1 Na 2.73
Cl 0.3023 0.8188 0.1211  1 Hg 2.56, 1 Na 2.73
Cl 0.6977 0.1812 0.8789  1 Hg 2.56, 1 Na 2.73
Cl 0.1812 0.3023 0.4835  1 Hg 2.56, 1 Na 2.73
Rb 0.2500 0.7500 0.5000  8 Cl 3.37-3.63
Cl 0.2473 0.2473 0.0000  1 Hg 2.72, 1 Na 2.78
Rb 0.7500 0.2500 0.5000  8 Cl 3.37-3.63
Hg 0.0000 0.0000 0.0000  6 Cl 2.56-2.72
Cl 0.7527 0.7527 0.0000  1 Hg 2.72, 1 Na 2.78
Na 0.5000 0.5000 0.0000  6 Cl 2.73-2.78


# 11
VASP calculation (GGA-PBE) on InCu15 after structural relaxation.

Properties
E = -3.57 eV per atom
Energy above the most stable polymorph in this dataset = 45.6 meV/atom

Cell lengths 7.1065, 2.5893, 33.9457 Å; angles 90.00, 90.03, 90.00 degrees
With the nearest neighbours (Å) after each atom.
Element x y z (fractional)
Cu 0.6248 0.2500 0.9068  12 Cu 2.54-2.59
Cu 0.1250 0.2500 0.2787  7 Cu 2.49-2.59
Cu 0.8750 0.7500 0.7213  7 Cu 2.49-2.59
Cu 0.3753 0.7500 0.0184  12 Cu 2.52-2.59
Cu 0.1237 0.2500 0.7559  9 Cu 2.49-2.59
Cu 0.6247 0.2500 0.9816  12 Cu 2.52-2.59
In 0.6249 0.2500 0.2962  2 In 2.59, 4 Cu 2.83
Cu 0.8739 0.7500 0.1685  12 Cu 2.53-2.59
Cu 0.1261 0.2500 0.8315  12 Cu 2.53-2.59
Cu 0.6264 0.2500 0.7559  9 Cu 2.49-2.59
Cu 0.3750 0.7500 0.9441  12 Cu 2.52-2.59
Cu 0.8747 0.7500 0.0187  12 Cu 2.53-2.59
Cu 0.1250 0.2500 0.1308  12 Cu 2.53-2.59
Cu 0.6249 0.2500 0.2066  11 Cu 2.54-2.59
In 0.3751 0.7500 0.7038  2 In 2.59, 4 Cu 2.83
Cu 0.3761 0.7500 0.1684  12 Cu 2.53-2.59
Cu 0.3736 0.7500 0.2441  9 Cu 2.49-2.59
Cu 0.3752 0.7500 0.0932  12 Cu 2.54-2.59
Cu 0.8749 0.7500 0.7948  12 Cu 2.50-2.59
Cu 0.3751 0.7500 0.7934  11 Cu 2.54-2.59
Cu 0.8750 0.7500 0.8692  12 Cu 2.53-2.59
Cu 0.3750 0.7500 0.8691  12 Cu 2.53-2.59
Cu 0.1253 0.2500 0.9813  12 Cu 2.53-2.59
Cu 0.6250 0.2500 0.1309  12 Cu 2.53-2.59
Cu 0.8750 0.7500 0.9442  12 Cu 2.53-2.59
Cu 0.1250 0.2500 0.0558  12 Cu 2.53-2.59
Cu 0.6250 0.2500 0.0559  12 Cu 2.52-2.59
Cu 0.6239 0.2500 0.8316  12 Cu 2.53-2.59
Cu 0.8748 0.7500 0.0933  12 Cu 2.53-2.59
Cu 0.1252 0.2500 0.9067  12 Cu 2.53-2.59
Cu 0.1251 0.2500 0.2052  12 Cu 2.50-2.59
Cu 0.8763 0.7500 0.2441  9 Cu 2.49-2.59


# 12
VASP calculation (GGA-PBE) on TaHgB after structural relaxation.

Properties
E = -5.54 eV per atom
Energy above the most stable polymorph in this dataset = 0.0 meV/atom

Cell lengths 4.0474, 4.0474, 4.0474 Å; angles 60.00, 60.00, 60.00 degrees
With the nearest neighbours (Å) after each atom.
Element x y z (fractional)
B 0.0000 0.0000 0.0000  4 Ta 2.48, 4 Hg 2.48
Hg 0.2500 0.2500 0.2500  4 B 2.48
Ta 0.7500 0.7500 0.7500  4 B 2.48


Please write out number 8 again, unchanged.
VASP calculation (GGA-PBE) on GdDyTlAu2 after structural relaxation.

Properties
E = -4.30 eV per atom

Cell lengths 3.5829, 7.7601, 7.7601 Å; angles 34.17, 90.00, 90.00 degrees
With the nearest neighbours (Å) after each atom.
Element x y z (fractional)
Tl 0.5000 0.0002 0.0002  2 Au 2.89-2.92
Dy 0.0000 0.6309 0.6309  6 Au 3.05-3.12
Au 0.5000 0.1950 0.1950  2 Au 2.79, 1 Tl 2.89, 4 Dy 3.05
Gd 0.0000 0.3703 0.3703  6 Au 3.06-3.16
Au 0.5000 0.8035 0.8035  2 Au 2.79, 1 Tl 2.92, 4 Gd 3.06, 2 Dy 3.12